Record 1
{"formula": "MgCr2MoRh", "functional": "SCAN", "state": "PBEsol geometry", "dos_at_fermi_per_ev_fu": 5.5, "energy_ev_per_atom": -21.129, "m_tot_mub_per_fu": 5.7, "cell": [[4.7347, 0.0000, 0.0000], [0.0000, 4.7347, 0.0000], [0.0000, 0.0000, 4.6144]], "species": ["Mg", "Cr", "Cr", "Mo", "Rh"], "fractional_positions": [[0.0000, 0.0000, 0.0000], [0.0000, 0.5000, 0.5000], [0.5000, 0.0000, 0.5000], [0.5000, 0.5000, 0.0000], [0.5000, 0.5000, 0.5000]]}

---

Record 2
{"formula": "CrPt2Cl", "functional": "SCAN", "state": "PBEsol geometry", "dos_at_fermi_per_ev_fu": 3.7, "m_tot_mub_per_fu": 4.1, "relative_energy_mev_per_atom": 361, "cell": [[2.6800, -4.0457, 0.0000], [2.6800, 4.0457, 0.0000], [0.0000, 0.0000, 2.8230]], "species": ["Cr", "Pt", "Pt", "Cl"], "fractional_positions": [[0.0000, 0.0000, 0.0000], [0.0000, 0.5000, 0.5000], [0.5000, 0.0000, 0.5000], [0.5000, 0.5000, 0.0000]]}

---

Record 3
{"formula": "Ni3PdAu", "functional": "SCAN", "state": "PBEsol geometry", "dos_at_fermi_per_ev_fu": 6.3, "energy_ev_per_atom": -28.750, "m_tot_mub_per_fu": 3.4, "cell": [[4.4317, 0.0000, 0.0000], [0.0000, 4.4317, 0.0000], [0.0000, 0.0000, 4.4317]], "species": ["Ni", "Ni", "Ni", "Pd", "Au"], "fractional_positions": [[0.0000, 0.0000, 0.5000], [0.0000, 0.5000, 0.0000], [0.5000, 0.0000, 0.0000], [0.0000, 0.0000, 0.0000], [0.5000, 0.5000, 0.5000]]}

---

Record 4
{"formula": "FeTc4", "functional": "SCAN", "state": "PBEsol geometry", "dos_at_fermi_per_ev_fu": 4.5, "energy_ev_per_atom": -31.584, "m_tot_mub_per_fu": 2.0, "cell": [[-2.9655, 2.9655, 1.8832], [2.9655, -2.9655, 1.8832], [2.9655, 2.9655, -1.8832]], "species": ["Fe", "Tc", "Tc", "Tc", "Tc"], "fractional_positions": [[0.0000, 0.0000, 0.0000], [0.2064, 0.3922, 0.5986], [0.3922, 0.7936, 0.1859], [0.6078, 0.2064, 0.8141], [0.7936, 0.6078, 0.4014]]}

---

Record 5
{"formula": "Zn2SbCl", "functional": "SCAN", "state": "PBEsol geometry", "dos_at_fermi_per_ev_fu": 1.2, "m_tot_mub_per_fu": 0.0, "relative_energy_mev_per_atom": 492, "cell": [[3.0451, 0.0000, 0.0000], [0.0000, 5.2566, 0.0000], [-1.2234, 0.0000, 5.2307]], "species": ["Zn", "Zn", "Sb", "Cl"], "fractional_positions": [[0.2006, 0.0000, 0.2830], [0.7994, 0.0000, 0.7170], [0.0000, 0.5000, 0.0000], [0.0000, 0.5000, 0.5000]]}

---

Record 6
{"formula": "ZrCoAu", "functional": "SCAN", "state": "PBEsol geometry", "dos_at_fermi_per_ev_fu": 1.1, "energy_ev_per_atom": -39.221, "m_tot_mub_per_fu": 0.0, "cell": [[0.0000, 2.9801, 2.9801], [2.9801, 0.0000, 2.9801], [2.9801, 2.9801, 0.0000]], "species": ["Zr", "Co", "Au"], "fractional_positions": [[0.0000, 0.0000, 0.0000], [0.7500, 0.7500, 0.7500], [0.5000, 0.5000, 0.5000]]}

---

Record 7
{"formula": "FeBC3", "functional": "SCAN", "state": "PBEsol geometry", "dos_at_fermi_per_ev_fu": 2.4, "energy_ev_per_atom": -8.382, "m_tot_mub_per_fu": 0.8, "cell": [[3.6511, 0.0000, 0.0000], [0.0000, 3.6511, 0.0000], [0.0000, 0.0000, 3.6511]], "species": ["Fe", "B", "C", "C", "C"], "fractional_positions": [[0.0000, 0.0000, 0.0000], [0.5000, 0.5000, 0.5000], [0.0000, 0.0000, 0.5000], [0.0000, 0.5000, 0.0000], [0.5000, 0.0000, 0.0000]]}

---

Record 8
{"formula": "KMoPClO5", "functional": "SCAN", "state": "PBEsol geometry", "energy_ev_per_atom": -12.566, "m_tot_mub_per_fu": 1.0, "cell": [[6.4461, 0.0000, 0.0000], [0.0000, 6.4461, 0.0000], [0.0000, 0.0000, 7.2843]], "species": ["K", "K", "Mo", "Mo", "P", "P", "Cl", "Cl", "O", "O", "O", "O", "O", "O", "O", "O", "O", "O"], "fractional_positions": [[0.2500, 0.7500, 0.0000], [0.7500, 0.2500, 0.0000], [0.2500, 0.2500, 0.4032], [0.7500, 0.7500, 0.5968], [0.2500, 0.7500, 0.5000], [0.7500, 0.2500, 0.5000], [0.2500, 0.2500, 0.0507], [0.7500, 0.7500, 0.9493], [0.0613, 0.7500, 0.6305], [0.2500, 0.2500, 0.6307], [0.2500, 0.5613, 0.3695], [0.2500, 0.9387, 0.3695], [0.4387, 0.7500, 0.6305], [0.5613, 0.2500, 0.3695], [0.7500, 0.0613, 0.6305], [0.7500, 0.4387, 0.6305], [0.7500, 0.7500, 0.3693], [0.9387, 0.2500, 0.3695]]}

---

Record 9
{"formula": "ZnAgOs2", "functional": "SCAN", "state": "PBEsol geometry", "dos_at_fermi_per_ev_fu": 1.9, "energy_ev_per_atom": -46.973, "m_tot_mub_per_fu": 0.0, "cell": [[2.7770, 0.0000, 0.0000], [0.0000, 2.7770, 0.0000], [0.0000, 0.0000, 7.5314]], "species": ["Zn", "Ag", "Os", "Os"], "fractional_positions": [[0.0000, 0.0000, 0.0000], [0.5000, 0.5000, 0.2528], [0.0000, 0.0000, 0.5333], [0.5000, 0.5000, 0.7537]]}

---

Record 10
{"formula": "Li3CuS2", "functional": "SCAN", "state": "PBEsol geometry", "dos_at_fermi_per_ev_fu": 0.0, "energy_ev_per_atom": -8.039, "m_tot_mub_per_fu": 0.0, "cell": [[-3.8900, 3.8900, 5.9028], [3.8900, -3.8900, 5.9028], [3.8900, 3.8900, -5.9028]], "species": ["Li", "Li", "Li", "Li", "Li", "Li", "Li", "Li", "Li", "Li", "Li", "Li", "Cu", "Cu", "Cu", "Cu", "S", "S", "S", "S", "S", "S", "S", "S"], "fractional_positions": [[0.0000, 0.0000, 0.0000], [0.0000, 0.0000, 0.5000], [0.0000, 0.5000, 0.0000], [0.1595, 0.4095, 0.3189], [0.1595, 0.8405, 0.7500], [0.4095, 0.1595, 0.8189], [0.4095, 0.5905, 0.2500], [0.5000, 0.0000, 0.5000], [0.5905, 0.4095, 0.7500], [0.5905, 0.8405, 0.1811], [0.8405, 0.1595, 0.2500], [0.8405, 0.5905, 0.6811], [0.2414, 0.4914, 0.7500], [0.4914, 0.2414, 0.2500], [0.5086, 0.7586, 0.7500], [0.7586, 0.5086, 0.2500], [0.2089, 0.2302, 0.9787], [0.2302, 0.2089, 0.4787], [0.2302, 0.7515, 0.0213], [0.2485, 0.7698, 0.4787], [0.7515, 0.2302, 0.5213], [0.7698, 0.2485, 0.9787], [0.7698, 0.7911, 0.5213], [0.7911, 0.7698, 0.0213]]}

---

Record 11
{"formula": "TaRhAu2", "functional": "SCAN", "state": "PBEsol geometry", "dos_at_fermi_per_ev_fu": 3.3, "m_tot_mub_per_fu": 0.0, "relative_energy_mev_per_atom": 67, "cell": [[-1.9471, 1.9471, 4.1881], [1.9471, -1.9471, 4.1881], [1.9471, 1.9471, -4.1881]], "species": ["Ta", "Rh", "Au", "Au"], "fractional_positions": [[0.0000, 0.0000, 0.0000], [0.5000, 0.5000, 0.0000], [0.2500, 0.7500, 0.5000], [0.7500, 0.2500, 0.5000]]}

---

Record 12
{"formula": "RbIn3Si", "functional": "SCAN", "state": "PBEsol geometry", "dos_at_fermi_per_ev_fu": 3.7, "energy_ev_per_atom": -24.656, "m_tot_mub_per_fu": 0.0, "cell": [[5.8883, 0.0000, 0.0000], [0.0000, 5.8883, 0.0000], [0.0000, 0.0000, 5.8883]], "species": ["Rb", "In", "In", "In", "Si"], "fractional_positions": [[0.0000, 0.0000, 0.0000], [0.0000, 0.0000, 0.5000], [0.0000, 0.5000, 0.0000], [0.5000, 0.0000, 0.0000], [0.5000, 0.5000, 0.5000]]}

---

Record 13
{"formula": "Sr2ZnCdS", "functional": "SCAN", "state": "PBEsol geometry", "dos_at_fermi_per_ev_fu": 3.2, "energy_ev_per_atom": -20.143, "m_tot_mub_per_fu": 0.0, "cell": [[5.6018, 0.0000, 0.0000], [0.0000, 5.6018, 0.0000], [0.0000, 0.0000, 5.0541]], "species": ["Sr", "Sr", "Zn", "Cd", "S"], "fractional_positions": [[0.0000, 0.5000, 0.0000], [0.5000, 0.0000, 0.0000], [0.0000, 0.0000, 0.5000], [0.5000, 0.5000, 0.5000], [0.5000, 0.5000, 0.0000]]}

---

Record 14
{"formula": "La2AlP", "functional": "SCAN", "state": "PBEsol geometry", "dos_at_fermi_per_ev_fu": 1.4, "energy_ev_per_atom": -26.932, "m_tot_mub_per_fu": 0.0, "cell": [[3.7266, 0.0000, 0.0000], [0.0000, 3.7266, 0.0000], [0.0000, 0.0000, 7.0367]], "species": ["La", "La", "Al", "P"], "fractional_positions": [[0.0000, 0.0000, 0.2249], [0.0000, 0.0000, 0.7751], [0.5000, 0.5000, 0.5000], [0.5000, 0.5000, 0.0000]]}

---

Record 15
{"formula": "NiRu2Pt", "functional": "SCAN", "state": "PBEsol geometry", "dos_at_fermi_per_ev_fu": 5.5, "m_tot_mub_per_fu": 0.0, "relative_energy_mev_per_atom": 93, "cell": [[4.3969, -1.3312, 0.0000], [4.3969, 1.3312, 0.0000], [-0.8228, 0.0000, 4.4715]], "species": ["Ni", "Ru", "Ru", "Pt"], "fractional_positions": [[0.0000, 0.0000, 0.0000], [0.2531, 0.2531, 0.7611], [0.7469, 0.7469, 0.2389], [0.5000, 0.5000, 0.5000]]}

---

Record 16
{"formula": "RhI2NCl", "functional": "SCAN", "state": "PBEsol geometry", "dos_at_fermi_per_ev_fu": 4.5, "energy_ev_per_atom": -23.158, "m_tot_mub_per_fu": 1.7, "cell": [[5.7669, 0.0000, 0.0000], [0.0000, 5.7669, 0.0000], [0.0000, 0.0000, 3.2993]], "species": ["Rh", "I", "I", "N", "Cl"], "fractional_positions": [[0.0000, 0.0000, 0.0000], [0.0000, 0.5000, 0.5000], [0.5000, 0.0000, 0.5000], [0.5000, 0.5000, 0.0000], [0.5000, 0.5000, 0.5000]]}

---

Record 17
{"formula": "KTaMn3", "functional": "SCAN", "state": "PBEsol geometry", "dos_at_fermi_per_ev_fu": 4.7, "energy_ev_per_atom": -23.680, "m_tot_mub_per_fu": 10.0, "cell": [[4.3052, 0.0000, 0.0000], [0.0000, 4.3052, 0.0000], [0.0000, 0.0000, 4.3052]], "species": ["K", "Ta", "Mn", "Mn", "Mn"], "fractional_positions": [[0.0000, 0.0000, 0.0000], [0.5000, 0.5000, 0.5000], [0.0000, 0.0000, 0.5000], [0.0000, 0.5000, 0.0000], [0.5000, 0.0000, 0.0000]]}

---

Record 18
{"formula": "Ga2Rh2O", "functional": "SCAN", "state": "PBEsol geometry", "dos_at_fermi_per_ev_fu": 5.0, "energy_ev_per_atom": -21.115, "m_tot_mub_per_fu": 0.0, "cell": [[-1.7329, 1.7329, 6.2834], [1.7329, -1.7329, 6.2834], [1.7329, 1.7329, -6.2834]], "species": ["Ga", "Ga", "Rh", "Rh", "O"], "fractional_positions": [[0.0954, 0.0954, 0.0000], [0.9046, 0.9046, 0.0000], [0.2500, 0.7500, 0.5000], [0.7500, 0.2500, 0.5000], [0.5000, 0.5000, 0.0000]]}

---

Record 19
{"formula": "Sr2Au", "functional": "SCAN", "state": "PBEsol geometry", "dos_at_fermi_per_ev_fu": 1.9, "energy_ev_per_atom": -38.578, "m_tot_mub_per_fu": 0.0, "cell": [[7.6287, 0.0000, 0.0000], [0.0000, 7.6287, 0.0000], [0.0000, 0.0000, 7.6287]], "species": ["Sr", "Sr", "Sr", "Sr", "Sr", "Sr", "Sr", "Sr", "Au", "Au", "Au", "Au"], "fractional_positions": [[0.1611, 0.1611, 0.1611], [0.1611, 0.3389, 0.6611], [0.3389, 0.6611, 0.1611], [0.3389, 0.8389, 0.6611], [0.6611, 0.1611, 0.3389], [0.6611, 0.3389, 0.8389], [0.8389, 0.6611, 0.3389], [0.8389, 0.8389, 0.8389], [0.0000, 0.0000, 0.5000], [0.0000, 0.5000, 0.0000], [0.5000, 0.0000, 0.0000], [0.5000, 0.5000, 0.5000]]}

---

Record 20
{"formula": "Li4V3Fe3Sb2O16", "functional": "SCAN", "state": "PBEsol geometry", "dos_at_fermi_per_ev_fu": 5.9, "energy_ev_per_atom": -12.412, "m_tot_mub_per_fu": 1.0, "cell": [[4.7924, -2.8426, 0.0000], [4.7924, 2.8426, 0.0000], [-0.0272, 0.0000, 10.0355]], "species": ["Li", "Li", "Li", "Li", "V", "V", "V", "Fe", "Fe", "Fe", "Sb", "Sb", "O", "O", "O", "O", "O", "O", "O", "O", "O", "O", "O", "O", "O", "O", "O", "O"], "fractional_positions": [[0.0000, 0.0000, 0.0000], [0.0009, 0.0009, 0.5022], [0.3374, 0.3374, 0.0895], [0.6693, 0.6693, 0.5966], [0.1945, 0.1945, 0.7719], [0.3794, 0.8239, 0.2785], [0.8239, 0.3794, 0.2785], [0.1725, 0.6527, 0.7690], [0.6527, 0.1725, 0.7690], [0.8230, 0.8230, 0.2853], [0.3406, 0.3406, 0.4978], [0.6668, 0.6668, 0.9814], [0.0009, 0.0009, 0.6833], [0.0023, 0.0023, 0.1936], [0.0329, 0.4878, 0.6456], [0.1612, 0.6861, 0.3918], [0.1651, 0.1651, 0.3950], [0.3150, 0.8529, 0.8737], [0.3439, 0.3439, 0.8902], [0.4860, 0.4860, 0.6600], [0.4878, 0.0329, 0.6456], [0.5117, 0.9861, 0.1688], [0.5130, 0.5130, 0.1666], [0.6683, 0.6683, 0.4058], [0.6861, 0.1612, 0.3918], [0.8449, 0.8449, 0.8750], [0.8529, 0.3150, 0.8737], [0.9861, 0.5117, 0.1688]]}